Here is Ac3MnGa2O9 after structural relaxation from the Alexandria database. Energies are from PBE+U.

Cell: 5.643 5.643 6.917 Å, 90.00 90.00 120.00°
Fractional coordinates of all 15 atoms:
Ac (0.000, 0.000, 0.000)
Ac (0.333, 0.667, 0.665)
Ac (0.667, 0.333, 0.335)
Mn (0.000, 0.000, 0.500)
Ga (0.333, 0.667, 0.164)
Ga (0.667, 0.333, 0.836)
O (0.000, 0.500, 0.000)
O (0.168, 0.337, 0.332)
O (0.168, 0.832, 0.332)
O (0.337, 0.168, 0.668)
O (0.500, 0.000, 0.000)
O (0.500, 0.500, 0.000)
O (0.663, 0.832, 0.332)
O (0.832, 0.168, 0.668)
O (0.832, 0.663, 0.668)

- Magnetization: 4.00 μB/cell
- Total DFT energy (no corrections): -7.29 eV per atom
- ρ: 8.87 g/cm³
- SG: P-3m1 (164)